# Tb4Pm3Sm4, relaxed, DFT PBE
data_Tb4Pm3Sm4
_chemical_formula_sum 'Tb8 Pm6 Sm8'
_space_group_name_H-M_alt 'I m m m'
_space_group_IT_number 71
_space_group_name_Hall '-I 2 2'
_cell_length_a 3.615
_cell_length_b 9.467
_cell_length_c 22.036
_cell_angle_alpha 90.00
_cell_angle_beta 90.00
_cell_angle_gamma 90.00
loop_
_atom_site_label
_atom_site_fract_x
_atom_site_fract_y
_atom_site_fract_z
Tb1 0.000 0.000 0.241
Tb2 0.000 0.183 0.000
Pm1 0.000 0.000 0.500
Pm2 0.000 0.500 0.391
Sm1 0.000 0.322 0.145
# Energy relative to the lowest polymorph listed for this composition: 76 meV/atom



# TbPm8Sm2, relaxed, DFT PBE
data_TbPm8Sm2
_chemical_formula_sum 'Tb2 Pm16 Sm4'
_space_group_name_H-M_alt 'C 1 2/m 1'
_space_group_IT_number 12
_cell_length_a 19.237
_cell_length_b 7.097
_cell_length_c 5.729
_cell_angle_alpha 90.00
_cell_angle_beta 93.75
_cell_angle_gamma 90.00
loop_
_space_group_symop_operation_xyz
'x,y,z'
'-x,-y,-z'
'-x,y,-z'
'x,-y,z'
'x+1/2,y+1/2,z'
'-x+1/2,-y+1/2,-z'
'-x+1/2,y+1/2,-z'
'x+1/2,-y+1/2,z'
loop_
_atom_site_label
_atom_site_fract_x
_atom_site_fract_y
_atom_site_fract_z
Tb1 0.000 0.000 0.000
Pm1 0.045 0.500 0.235
Pm2 0.129 0.265 0.731
Pm3 0.187 0.000 0.229
Sm1 0.216 0.500 0.257
# Energy relative to the lowest polymorph listed for this composition: 146 meV/atom



# Tb5PmSm4, relaxed, DFT PBE
data_Tb5PmSm4
_chemical_formula_sum 'Tb10 Pm2 Sm8'
_space_group_name_H-M_alt 'I 4 m m'
_space_group_IT_number 107
_space_group_name_Hall 'I 4 -2'
_cell_length_a 10.618
_cell_length_b 10.618
_cell_length_c 6.027
_cell_angle_alpha 90.00
_cell_angle_beta 90.00
_cell_angle_gamma 90.00
loop_
_atom_site_label
_atom_site_fract_x
_atom_site_fract_y
_atom_site_fract_z
Tb1 0.000 0.000 0.000
Tb2 0.189 0.189 0.262
Pm1 0.000 0.000 0.529
Sm1 0.000 0.325 0.779
# Energy relative to the lowest polymorph listed for this composition: 235 meV/atom



# Tb2Pm8Sm, relaxed, DFT PBE
data_Tb2Pm8Sm
_chemical_formula_sum 'Tb4 Pm16 Sm2'
_space_group_name_H-M_alt 'C 1 2/m 1'
_space_group_IT_number 12
_cell_length_a 19.317
_cell_length_b 7.077
_cell_length_c 5.694
_cell_angle_alpha 90.00
_cell_angle_beta 93.52
_cell_angle_gamma 90.00
loop_
_space_group_symop_operation_xyz
'x,y,z'
'-x,-y,-z'
'-x,y,-z'
'x,-y,z'
'x+1/2,y+1/2,z'
'-x+1/2,-y+1/2,-z'
'-x+1/2,y+1/2,-z'
'x+1/2,-y+1/2,z'
loop_
_atom_site_label
_atom_site_fract_x
_atom_site_fract_y
_atom_site_fract_z
Tb1 0.216 0.000 0.256
Pm1 0.045 0.000 0.237
Pm2 0.132 0.233 0.731
Pm3 0.188 0.500 0.230
Sm1 0.000 0.500 0.000
# Energy relative to the lowest polymorph listed for this composition: 138 meV/atom



# Tb3Pm5Sm2, relaxed, DFT PBE
data_Tb3Pm5Sm2
_chemical_formula_sum 'Tb12 Pm20 Sm8'
_space_group_name_H-M_alt 'C 1 2/c 1'
_space_group_IT_number 15
_cell_length_a 10.870
_cell_length_b 15.369
_cell_length_c 9.820
_cell_angle_alpha 90.00
_cell_angle_beta 123.40
_cell_angle_gamma 90.00
loop_
_space_group_symop_operation_xyz
'x,y,z'
'-x,-y,-z'
'-x,y,-z+1/2'
'x,-y,z+1/2'
'x+1/2,y+1/2,z'
'-x+1/2,-y+1/2,-z'
'-x+1/2,y+1/2,-z+1/2'
'x+1/2,-y+1/2,z+1/2'
loop_
_atom_site_label
_atom_site_fract_x
_atom_site_fract_y
_atom_site_fract_z
Tb1 0.000 0.022 0.250
Tb2 0.158 0.378 0.549
Pm1 0.000 0.230 0.250
Pm2 0.000 0.271 0.750
Pm3 0.000 0.471 0.750
Pm4 0.236 0.380 0.223
Sm1 0.145 0.123 0.053
# Energy relative to the lowest polymorph listed for this composition: 0 meV/atom



# Tb2Pm5Sm2, relaxed, DFT PBE
data_Tb2Pm5Sm2
_chemical_formula_sum 'Tb4 Pm10 Sm4'
_space_group_name_H-M_alt 'C 1 2/m 1'
_space_group_IT_number 12
_cell_length_a 15.386
_cell_length_b 5.135
_cell_length_c 8.094
_cell_angle_alpha 90.00
_cell_angle_beta 108.55
_cell_angle_gamma 90.00
loop_
_space_group_symop_operation_xyz
'x,y,z'
'-x,-y,-z'
'-x,y,-z'
'x,-y,z'
'x+1/2,y+1/2,z'
'-x+1/2,-y+1/2,-z'
'-x+1/2,y+1/2,-z'
'x+1/2,-y+1/2,z'
loop_
_atom_site_label
_atom_site_fract_x
_atom_site_fract_y
_atom_site_fract_z
Tb1 0.055 0.000 0.335
Pm1 0.000 0.500 0.000
Pm2 0.166 0.000 0.001
Pm3 0.222 0.500 0.334
Sm1 0.110 0.500 0.666
# Energy relative to the lowest polymorph listed for this composition: 0 meV/atom



# Tb2Pm2Sm7, relaxed, DFT PBE
data_Tb2Pm2Sm7
_chemical_formula_sum 'Tb4 Pm4 Sm14'
_space_group_name_H-M_alt 'C 1 2/m 1'
_space_group_IT_number 12
_cell_length_a 8.569
_cell_length_b 10.963
_cell_length_c 8.277
_cell_angle_alpha 90.00
_cell_angle_beta 105.21
_cell_angle_gamma 90.00
loop_
_space_group_symop_operation_xyz
'x,y,z'
'-x,-y,-z'
'-x,y,-z'
'x,-y,z'
'x+1/2,y+1/2,z'
'-x+1/2,-y+1/2,-z'
'-x+1/2,y+1/2,-z'
'x+1/2,-y+1/2,z'
loop_
_atom_site_label
_atom_site_fract_x
_atom_site_fract_y
_atom_site_fract_z
Tb1 0.193 0.000 0.473
Pm1 0.000 0.285 0.500
Sm1 0.000 0.000 0.000
Sm2 0.081 0.500 0.818
Sm3 0.198 0.293 0.168
# Energy relative to the lowest polymorph listed for this composition: 0 meV/atom



The following is a DFT calculation (PBE) of a relaxed Tb8Pm2Sm3 crystal.

Cell and atoms, written as CIF:
```
data_Tb8Pm2Sm3
_chemical_formula_sum 'Tb8 Pm2 Sm3'
_space_group_name_H-M_alt 'P -1'
_space_group_IT_number 2
_cell_length_a 6.216
_cell_length_b 6.218
_cell_length_c 11.345
_cell_angle_alpha 89.99
_cell_angle_beta 79.48
_cell_angle_gamma 80.46
loop_
_space_group_symop_operation_xyz
'x,y,z'
'-x,-y,-z'
loop_
_atom_site_label
_atom_site_fract_x
_atom_site_fract_y
_atom_site_fract_z
Tb1 0.038 0.076 0.346
Tb2 0.192 0.384 0.731
Tb3 0.347 0.693 0.116
Tb4 0.423 0.845 0.808
Pm1 0.116 0.231 0.038
Sm1 0.269 0.538 0.423
Sm2 0.500 0.000 0.500
```



# Tb2PmSm, relaxed, DFT PBE
data_Tb2PmSm
_chemical_formula_sum 'Tb2 Pm1 Sm1'
_space_group_name_H-M_alt 'P 4/m m m'
_space_group_IT_number 123
_space_group_name_Hall '-P 4 2'
_cell_length_a 3.599
_cell_length_b 3.599
_cell_length_c 10.179
_cell_angle_alpha 90.00
_cell_angle_beta 90.00
_cell_angle_gamma 90.00
loop_
_atom_site_label
_atom_site_fract_x
_atom_site_fract_y
_atom_site_fract_z
Tb1 0.000 0.000 0.249
Pm1 0.500 0.500 0.500
Sm1 0.500 0.500 0.000
# Energy relative to the lowest polymorph listed for this composition: 3 meV/atom



# TbPm3Sm, relaxed, DFT PBE
data_TbPm3Sm
_chemical_formula_sum 'Tb4 Pm12 Sm4'
_space_group_name_H-M_alt 'C 1 2/m 1'
_space_group_IT_number 12
_cell_length_a 11.470
_cell_length_b 5.129
_cell_length_c 11.485
_cell_angle_alpha 90.00
_cell_angle_beta 90.14
_cell_angle_gamma 90.00
loop_
_space_group_symop_operation_xyz
'x,y,z'
'-x,-y,-z'
'-x,y,-z'
'x,-y,z'
'x+1/2,y+1/2,z'
'-x+1/2,-y+1/2,-z'
'-x+1/2,y+1/2,-z'
'x+1/2,-y+1/2,z'
loop_
_atom_site_label
_atom_site_fract_x
_atom_site_fract_y
_atom_site_fract_z
Tb1 0.150 0.000 0.451
Pm1 0.050 0.000 0.151
Pm2 0.051 0.500 0.648
Pm3 0.249 0.500 0.252
Sm1 0.150 0.500 0.950
# Energy relative to the lowest polymorph listed for this composition: 0 meV/atom



# Tb4PmSm5, relaxed, DFT PBE
data_Tb4PmSm5
_chemical_formula_sum 'Tb8 Pm2 Sm10'
_space_group_name_H-M_alt 'I 4'
_space_group_IT_number 79
_cell_length_a 10.312
_cell_length_b 10.312
_cell_length_c 6.301
_cell_angle_alpha 90.00
_cell_angle_beta 90.00
_cell_angle_gamma 90.00
loop_
_space_group_symop_operation_xyz
'x,y,z'
'-y,x,z'
'-x,-y,z'
'y,-x,z'
'x+1/2,y+1/2,z+1/2'
'-y+1/2,x+1/2,z+1/2'
'-x+1/2,-y+1/2,z+1/2'
'y+1/2,-x+1/2,z+1/2'
loop_
_atom_site_label
_atom_site_fract_x
_atom_site_fract_y
_atom_site_fract_z
Tb1 0.043 0.655 0.000
Pm1 0.000 0.000 0.770
Sm1 0.000 0.000 0.228
Sm2 0.152 0.771 0.499
# Energy relative to the lowest polymorph listed for this composition: 216 meV/atom



# Tb6PmSm4, relaxed, DFT PBE
data_Tb6PmSm4
_chemical_formula_sum 'Tb12 Pm2 Sm8'
_space_group_name_H-M_alt 'I -4 2 m'
_space_group_IT_number 121
_space_group_name_Hall 'I -4 2'
_cell_length_a 6.649
_cell_length_b 6.649
_cell_length_c 17.089
_cell_angle_alpha 90.00
_cell_angle_beta 90.00
_cell_angle_gamma 90.00
loop_
_atom_site_label
_atom_site_fract_x
_atom_site_fract_y
_atom_site_fract_z
Tb1 0.000 0.500 0.000
Tb2 0.178 0.178 0.373
Pm1 0.000 0.000 0.000
Sm1 0.189 0.189 0.175
# Energy relative to the lowest polymorph listed for this composition: 0 meV/atom



Record-wise volume values, in Å³/atom: 34.28, 35.48, 33.97, 35.31, 34.24, 33.68, 34.10, 32.69, 32.97, 33.78, 33.50, 34.34
Record-wise formation energy values, in eV per atom: 0.131, 0.160, 0.250, 0.153, 0.188, 0.014, 0.147, 0.015, 0.015, 0.014, 0.281, 0.307